DFT (GGA-PBE) results for a geometry-optimized PrPu2In9 structure.

Cell and atoms, written as POSCAR:
```
PrPu2In9
1.0
4.6833 0.0000 0.0000
0.0000 4.6833 0.0000
0.0000 0.0000 14.0629
Pr Pu In
1 2 9
direct
0.0000 0.0000 0.0000
0.0000 0.0000 0.3348
0.0000 0.0000 0.6652
0.5000 0.5000 0.0000
0.5000 0.5000 0.3350
0.5000 0.5000 0.6650
0.5000 0.0000 0.1712
0.5000 0.0000 0.5000
0.5000 0.0000 0.8288
0.0000 0.5000 0.1712
0.0000 0.5000 0.5000
0.0000 0.5000 0.8288
```

## Properties
volume: 25.7 Å³ per atom
symmetry: P4/mmm (123)
D(E_F): 26.2 states/eV per cell
ΔH_f (0 K): -308 meV/atom

***

DFT (GGA-PBE) results for a geometry-optimized Tl2NiI4Br2 structure.

Cell and atoms, written as POSCAR:
```
Tl2NiI4Br2
1.0
-6.8718 0.7606 -3.1853
-4.3240 -6.2086 -1.4939
-6.3769 -1.5705 4.0426
Tl Ni I Br
2 1 4 2
direct
0.2240 0.7508 0.7508
0.7760 0.2492 0.2492
0.5000 0.0000 0.0000
0.2670 0.7399 0.2350
0.7330 0.7650 0.2601
0.7330 0.2601 0.7650
0.2670 0.2350 0.7399
0.2522 0.2190 0.2190
0.7478 0.7810 0.7810
```

## Properties
volume: 34.8 Å³ per atom
symmetry: C2/m (12)
calculated total energy: -0.0947 Ha/atom
D(E_F): 3.2 states/eV per cell

***

DFT (GGA-PBE) results for a geometry-optimized Sm3Y3Si4 structure.

Cell and atoms, written as POSCAR:
```
Sm3Y3Si4
1.0
4.3029 0.0000 0.0000
0.0000 7.5544 -0.0051
0.0000 0.0613 7.5541
Sm Y Si
3 3 4
direct
0.5000 0.8247 0.1753
0.5000 0.3224 0.3244
0.5000 0.6756 0.6776
0.0000 0.5011 0.0007
0.0000 0.9993 0.4989
0.5000 0.1764 0.8236
0.0000 0.6136 0.3864
0.0000 0.3817 0.6183
0.0000 0.8880 0.8827
0.0000 0.1173 0.1120
```

## Properties
volume: 24.6 Å³ per atom
symmetry: Amm2 (38)
calculated total energy: -0.2292 Ha/atom
D(E_F): 8.4 states/eV per cell